No. 1
Pr8Ni3OsCl4 after structural relaxation. Source: Alexandria via LeMat-Bulk, functional PBE.

abc: 8.923 8.923 8.923
angles: 54.42 54.42 54.42
Atoms (fractional coordinates):
Pr: 0.233 0.233 0.233
Pr: 0.236 0.735 0.735
Pr: 0.265 0.265 0.764
Pr: 0.265 0.764 0.265
Pr: 0.735 0.236 0.735
Pr: 0.735 0.735 0.236
Pr: 0.764 0.265 0.265
Pr: 0.767 0.767 0.767
Ni: 0.000 0.000 0.500
Ni: 0.000 0.500 0.000
Ni: 0.500 0.000 0.000
Os: 0.500 0.500 0.500
Cl: 0.000 0.000 0.000
Cl: 0.000 0.500 0.500
Cl: 0.500 0.000 0.500
Cl: 0.500 0.500 0.000

Results
Electronic total energy = -5.528 eV per atom
Density of states at the Fermi level = 9.9 states/eV/cell
Space-group type = No. 166
Energy relative to the elements, uncorrected = -0.89 eV per atom

No. 2
DyZr2Ir3 after structural relaxation. Source: Alexandria via LeMat-Bulk, functional PBE.

abc: 3.303 3.303 10.413
angles: 90.00 90.00 90.00
Atoms (fractional coordinates):
Dy: 0.000 0.000 0.000
Zr: 0.000 0.000 0.338
Zr: 0.000 0.000 0.662
Ir: 0.500 0.500 0.189
Ir: 0.500 0.500 0.500
Ir: 0.500 0.500 0.811

Results
Formation energy from the elements = -0.80 eV per atom
Electronic total energy = -8.851 eV per atom
Density of states at the Fermi level = 4.9 states/eV/cell
Space-group type = No. 123

No. 3
NiHgTe2 after structural relaxation. Source: Alexandria via LeMat-Bulk, functional PBE.

abc: 7.889 7.889 7.889
angles: 28.54 28.54 28.54
Atoms (fractional coordinates):
Ni: 0.000 0.000 0.000
Hg: 0.500 0.500 0.500
Te: 0.275 0.275 0.275
Te: 0.725 0.725 0.725

Results
Electronic total energy = -3.218 eV per atom
Density of states at the Fermi level = 3.0 states/eV/cell
Space-group type = No. 166
Energy relative to the elements, uncorrected = -0.13 eV per atom

No. 4
CaHg4 after structural relaxation. Source: Alexandria via LeMat-Bulk, functional PBE.

abc: 5.160 5.160 5.832
angles: 109.38 109.38 64.21
Atoms (fractional coordinates):
Ca: 0.000 0.000 0.000
Hg: 0.208 0.208 0.626
Hg: 0.400 0.400 0.216
Hg: 0.600 0.600 0.784
Hg: 0.792 0.792 0.374

Results
Formation energy from the elements = -0.29 eV per atom
Electronic total energy = -0.929 eV per atom
Density of states at the Fermi level = 1.7 states/eV/cell
Space-group type = No. 12
Relative energy among the computed polymorphs = 0.031 eV per formula unit

No. 5
FeCuH after structural relaxation. Source: Alexandria via LeMat-Bulk, functional PBE.

abc: 4.804 4.804 4.804
angles: 31.59 31.59 31.59
Atoms (fractional coordinates):
Fe: 0.000 0.000 0.000
Cu: 0.515 0.515 0.515
H: 0.390 0.390 0.390

Results
Electronic total energy = -5.192 eV per atom
Density of states at the Fermi level = 1.4 states/eV/cell
Space-group type = No. 160
Relative energy among the computed polymorphs = 0.063 eV per formula unit

No. 6
LiLaFe2 after structural relaxation. Source: Alexandria via LeMat-Bulk, functional PBE.

abc: 4.607 4.607 4.607
angles: 119.88 119.88 90.21
Atoms (fractional coordinates):
Li: 0.000 0.000 0.000
La: 0.250 0.750 0.500
Fe: 0.500 0.500 0.000
Fe: 0.750 0.250 0.500

Results
Formation energy from the elements = 0.36 eV per atom
Electronic total energy = -5.578 eV per atom
Density of states at the Fermi level = 4.5 states/eV/cell
Space-group type = No. 119
Relative energy among the computed polymorphs = 0.608 eV per formula unit

No. 7
Be2MoSCl after structural relaxation. Source: Alexandria via LeMat-Bulk, functional PBE.

abc: 4.001 4.001 4.769
angles: 90.00 90.00 90.00
Atoms (fractional coordinates):
Be: 0.000 0.500 0.000
Be: 0.500 0.000 0.000
Mo: 0.000 0.000 0.500
S: 0.000 0.000 0.000
Cl: 0.500 0.500 0.500

Results
Electronic total energy = -4.052 eV per atom
Density of states at the Fermi level = 3.1 states/eV/cell
Space-group type = No. 123
Energy relative to the elements, uncorrected = 0.80 eV per atom

No. 8
Sm2ErPt2 after structural relaxation. Source: Alexandria via LeMat-Bulk, functional PBE.

abc: 7.775 7.775 4.077
angles: 90.00 90.00 90.00
Atoms (fractional coordinates):
Sm: 0.163 0.337 0.000
Sm: 0.337 0.837 0.000
Sm: 0.663 0.163 0.000
Sm: 0.837 0.663 0.000
Er: 0.000 0.000 0.500
Er: 0.500 0.500 0.500
Pt: 0.139 0.639 0.500
Pt: 0.361 0.139 0.500
Pt: 0.639 0.861 0.500
Pt: 0.861 0.361 0.500

Results
Formation energy from the elements = -1.01 eV per atom
Electronic total energy = -6.231 eV per atom
Density of states at the Fermi level = 7.1 states/eV/cell
Space-group type = No. 127